{
  "formula": "LaPmSbCl",
  "functional": "PBE",
  "state": "relaxed",
  "cell": [[5.373, 0.000, 0.000], [2.686, 4.653, 0.000], [2.686, 1.551, 4.387]],
  "species": ["Sb", "La", "Cl", "Pm"],
  "fractional_positions": [[0.000, 0.000, 0.000], [0.750, 0.750, 0.750], [0.500, 0.500, 0.500], [0.250, 0.250, 0.250]],
  "dos_at_fermi_per_ev_cell": 3.6,
  "e_form_raw_ev_per_atom": -1.2563,
  "sg": "F-43m (216)",
  "dft_energy_ev_per_atom": -5.168
}



{
  "formula": "CaPm12Si7",
  "functional": "PBE",
  "state": "relaxed",
  "cell": [[-9.197, -0.003, 0.512], [3.705, -4.788, 6.942], [3.301, 8.596, -0.226]],
  "species": ["Ca", "Pm", "Pm", "Pm", "Pm", "Pm", "Pm", "Pm", "Pm", "Pm", "Pm", "Pm", "Pm", "Si", "Si", "Si", "Si", "Si", "Si", "Si"],
  "fractional_positions": [[0.000, 0.000, 0.000], [0.000, 0.268, 0.732], [0.732, 0.268, 0.000], [0.466, 0.166, 0.466], [0.834, 0.534, 0.534], [0.268, 0.000, 0.732], [0.534, 0.534, 0.834], [0.466, 0.466, 0.166], [0.732, 0.000, 0.268], [0.166, 0.466, 0.466], [0.534, 0.834, 0.534], [0.268, 0.732, 0.000], [0.000, 0.732, 0.268], [0.864, 0.519, 0.864], [0.481, 0.136, 0.136], [0.136, 0.136, 0.481], [0.500, 0.500, 0.500], [0.864, 0.864, 0.519], [0.519, 0.864, 0.864], [0.136, 0.481, 0.136]],
  "dos_at_fermi_per_ev_cell": 22.5,
  "e_form_raw_ev_per_atom": -0.3822,
  "sg": "R-3m (166)",
  "dft_energy_ev_per_atom": -5.231
}



{
  "formula": "CdSn2Sb",
  "functional": "PBE",
  "state": "relaxed",
  "cell": [[-1.154, -0.379, 4.322], [0.962, -3.758, 2.259], [5.955, 1.267, 4.033]],
  "species": ["Cd", "Sn", "Sn", "Sb"],
  "fractional_positions": [[0.497, 0.497, 0.508], [0.086, 0.086, 0.741], [0.250, 0.250, 0.249], [0.666, 0.666, 0.001]],
  "polymorph_energy_mev_per_atom": 0,
  "dos_at_fermi_per_ev_cell": 1.5,
  "e_form_raw_ev_per_atom": 0.0819,
  "sg": "R3m (160)",
  "dft_energy_ev_per_atom": -3.179
}



Please write out number 3 again, unchanged.
{
  "formula": "CdSn2Sb",
  "functional": "PBE",
  "state": "relaxed",
  "cell": [[-1.154, -0.379, 4.322], [0.962, -3.758, 2.259], [5.955, 1.267, 4.033]],
  "species": ["Cd", "Sn", "Sn", "Sb"],
  "fractional_positions": [[0.497, 0.497, 0.508], [0.086, 0.086, 0.741], [0.250, 0.250, 0.249], [0.666, 0.666, 0.001]],
  "polymorph_energy_mev_per_atom": 0,
  "dos_at_fermi_per_ev_cell": 1.5,
  "e_form_raw_ev_per_atom": 0.0819,
  "sg": "R3m (160)",
  "dft_energy_ev_per_atom": -3.179
}



Q: What is the formula in the second record?
A: CaPm12Si7